Mg13Pb3: relaxed, GGA-PBE.

Cell: 7.571 7.571 6.815 Å, 90.00 90.00 93.55°
Positions (direct):
Mg1 0.534 0.959 0.254
Mg2 0.458 0.542 0.258
Mg3 0.041 0.466 0.254
Mg4 0.783 0.715 0.000
Mg5 0.285 0.217 0.000
Mg6 0.220 0.780 0.000
Mg7 0.534 0.959 0.746
Mg8 0.458 0.542 0.742
Mg9 0.041 0.466 0.746
Mg10 0.711 0.289 0.500
Mg11 0.785 0.705 0.500
Mg12 0.295 0.215 0.500
Mg13 0.219 0.781 0.500
Pb1 0.969 0.031 0.254
Pb2 0.698 0.302 0.000
Pb3 0.969 0.031 0.746

Properties
The value obtained for the energy relative to the elements is -0.009 eV per atom. The total magnetic moment comes out at 0.00 μB/cell. The uncorrected energy comes out at -2.00 eV per atom. Its symmetry is Amm2.

Mg3Pb2: relaxed, GGA-PBE.

Cell: 13.963 13.963 13.963 Å, 13.64 13.64 13.64°
Positions (direct):
Pb1 0.599 0.599 0.599
Pb2 0.401 0.401 0.401
Mg1 0.000 0.000 0.000
Mg2 0.198 0.198 0.198
Mg3 0.802 0.802 0.802

Properties
The value obtained for the energy relative to the elements is 0.005 eV per atom. The total magnetic moment comes out at 0.00 μB/cell. The uncorrected energy comes out at -2.44 eV per atom. Its symmetry is R-3m. The polymorph energy (0 for the lowest one) is 0.05 eV per formula unit.

MgPb2: relaxed, GGA-PBE.

Cell: 7.197 7.197 7.197 Å, 90.00 90.00 90.00°
Positions (direct):
Pb1 0.644 0.644 0.356
Pb2 0.356 0.356 0.644
Pb3 0.144 0.856 0.644
Pb4 0.856 0.144 0.356
Pb5 0.356 0.144 0.144
Pb6 0.644 0.856 0.856
Pb7 0.856 0.356 0.856
Pb8 0.144 0.644 0.144
Mg1 0.000 0.000 0.000
Mg2 0.500 0.500 0.000
Mg3 0.500 0.000 0.500
Mg4 0.000 0.500 0.500

Properties
The value obtained for the energy relative to the elements is 0.206 eV per atom. The total magnetic moment comes out at 0.00 μB/cell. The uncorrected energy comes out at -2.80 eV per atom. Its symmetry is Pa-3. The polymorph energy (0 for the lowest one) is 0.72 eV per formula unit.